# MgCl3O

MgCl3O after structural relaxation (GGA-PBE, the Alexandria database).

```
MgCl3O
1.0
-3.564 -3.097 1.392
3.249 -3.696 0.097
0.984 0.989 4.720
O Mg Cl
1 1 3
Cartesian
0.335 -2.902 3.105 O
0.000 0.000 0.000 Mg
-1.782 -1.548 0.696 Cl
0.492 0.495 2.360 Cl
1.625 -1.848 0.049 Cl
```

ρ ... 2.0 g/cm3
Total moment ... 3.00 μB per formula unit
E above lowest polymorph ... 0 meV/atom
Crystal system ... cubic
Space-group type ... No. 221

=====

# RbTeSe

RbTeSe after structural relaxation (GGA-PBE, the Alexandria database).

```
RbTeSe
1.0
-1.396 -1.824 -3.516
3.535 1.108 -1.978
1.565 -4.975 4.469
Se Rb Te
1 1 1
Cartesian
2.291 -2.832 -1.949 Se
3.681 -5.644 -1.041 Rb
1.437 -2.909 0.939 Te
```

ρ ... 4.4 g/cm3
Total moment ... 0.00 μB per formula unit
E above lowest polymorph ... 144 meV/atom
Crystal system ... tetragonal
Space-group type ... No. 107